# 1
Below is Ca2CrMo at its PBEsol-relaxed geometry, with properties calculated at the SCAN level.

- DOS(E_F) (states/eV/cell) = 5.79
- ΔH_f (0 K) (meV per atom) = 805
- energy above the lowest structure with this stoichiometry (meV/atom) = 0.0

```
8
Lattice="4.189 0.000 0.000 0.000 4.189 0.000 0.000 0.000 9.707" Properties=species:S:1:pos:R:3 pbc="T T T"
Ca 0.000 2.095 2.427
Ca 0.000 2.095 7.280
Ca 2.095 0.000 2.427
Ca 2.095 0.000 7.280
Cr 0.000 0.000 0.000
Cr 2.095 2.095 4.853
Mo 0.000 0.000 4.853
Mo 2.095 2.095 0.000
```

***

# 2
Below is Ca7CrN6 at its PBEsol-relaxed geometry, with properties calculated at the SCAN level.

- formation energy without anion corrections (eV per atom) = -1.055

```
56
Lattice="10.839 0.000 0.000 0.000 6.170 0.000 0.000 0.000 12.848" Properties=species:S:1:pos:R:3 pbc="T T T"
Ca 0.000 0.371 3.212
Ca 0.000 5.798 9.636
Ca 0.400 1.434 6.723
Ca 0.400 4.736 0.299
Ca 2.238 2.408 1.544
Ca 2.238 3.762 7.968
Ca 2.487 2.170 11.228
Ca 2.487 4.000 4.804
Ca 2.933 0.915 4.804
Ca 2.933 5.255 11.228
Ca 3.182 0.677 7.968
Ca 3.182 5.493 1.544
Ca 5.020 1.651 0.299
Ca 5.020 4.518 6.723
Ca 5.420 2.714 9.636
Ca 5.420 3.456 3.212
Ca 5.819 1.651 6.125
Ca 5.819 4.518 12.549
Ca 7.658 0.677 11.304
Ca 7.658 5.493 4.880
Ca 7.906 0.915 1.620
Ca 7.906 5.255 8.044
Ca 8.353 2.170 8.044
Ca 8.353 4.000 1.620
Ca 8.601 2.408 4.880
Ca 8.601 3.762 11.304
Ca 10.440 1.434 12.549
Ca 10.440 4.736 6.125
Cr 0.000 2.674 9.636
Cr 0.000 3.496 3.212
Cr 5.420 0.411 3.212
Cr 5.420 5.759 9.636
N 0.532 2.456 4.588
N 0.532 3.714 11.012
N 1.371 1.618 9.090
N 1.371 4.552 2.666
N 1.797 0.553 12.808
N 1.797 5.617 6.384
N 3.622 2.532 6.384
N 3.622 3.638 12.808
N 4.049 1.467 2.666
N 4.049 4.703 9.090
N 4.888 0.629 11.012
N 4.888 5.540 4.588
N 5.951 0.629 8.261
N 5.951 5.540 1.837
N 6.790 1.467 3.758
N 6.790 4.703 10.183
N 7.217 2.532 0.040
N 7.217 3.638 6.465
N 9.042 0.553 6.465
N 9.042 5.617 0.040
N 9.469 1.618 10.183
N 9.469 4.552 3.758
N 10.308 2.456 1.837
N 10.308 3.714 8.261
```

***

# 3
Below is Ca4CrN4 at its PBEsol-relaxed geometry, with properties calculated at the SCAN level.

- formation energy without anion corrections (eV per atom) = -1.094
- energy above the lowest structure with this stoichiometry (meV/atom) = 0.0

```
36
Lattice="10.951 0.000 0.000 0.000 4.880 0.000 0.000 0.000 10.851" Properties=species:S:1:pos:R:3 pbc="T T T"
Ca 0.629 1.220 1.225
Ca 1.000 3.660 3.444
Ca 1.427 3.660 7.174
Ca 2.515 1.220 5.178
Ca 2.961 3.660 10.604
Ca 4.049 1.220 1.748
Ca 4.476 1.220 8.870
Ca 4.847 3.660 6.651
Ca 6.105 1.220 4.200
Ca 6.475 3.660 1.981
Ca 6.903 3.660 9.103
Ca 7.991 1.220 0.247
Ca 8.436 3.660 5.673
Ca 9.524 1.220 3.677
Ca 9.952 1.220 7.407
Ca 10.322 3.660 9.626
Cr 1.433 1.220 9.248
Cr 4.043 3.660 3.822
Cr 6.909 1.220 7.029
Cr 9.518 3.660 1.604
N 0.188 3.660 1.141
N 0.841 1.220 3.587
N 1.807 1.220 7.579
N 2.598 1.220 10.541
N 2.878 3.660 5.116
N 3.669 3.660 2.153
N 4.635 3.660 9.013
N 5.288 1.220 6.567
N 5.664 3.660 4.285
N 6.316 1.220 1.839
N 7.282 1.220 8.698
N 8.074 1.220 5.736
N 8.354 3.660 0.310
N 9.145 3.660 3.273
N 10.111 3.660 7.264
N 10.763 1.220 9.710
```

***

Taking the records one at a time from the top gives calculated total energy values of -17.3437, -11.1823, -11.5608 eV/atom.